Here is crystalline Er2SnRh6 at its relaxed geometry from the Alexandria database. Energies are from PBE-GGA.

Geometry as POSCAR:
```
Er2SnRh6
1.0
-2.004 0.912 2.117
1.551 -6.540 4.287
5.148 6.111 0.048
Er Sn Rh
2 1 6
Direct
0.656 0.660 0.319 Er
0.344 0.340 0.681 Er
0.000 0.000 0.000 Sn
0.168 0.375 0.339 Rh
0.832 0.036 0.661 Rh
0.832 0.625 0.661 Rh
0.500 0.273 0.000 Rh
0.168 0.964 0.339 Rh
0.500 0.727 0.000 Rh
```

D(E_F)	0.9812	states/eV per atom
space-group type	C2/m
total moment	0.0	μB/f.u.
electronic total energy	-6.6269	eV per atom

---

Here is crystalline Er8SnRh2 at its relaxed geometry from the Alexandria database. Energies are from PBE-GGA.

Geometry as POSCAR:
```
Er8SnRh2
1.0
5.339 0.125 -0.850
-1.755 7.051 -3.009
0.143 -0.120 7.863
Er Sn Rh
8 1 2
Direct
0.577 0.334 0.078 Er
0.577 0.078 0.334 Er
0.196 0.393 0.393 Er
0.000 0.248 0.757 Er
0.000 0.757 0.248 Er
0.804 0.613 0.613 Er
0.423 0.928 0.672 Er
0.423 0.672 0.928 Er
0.000 0.003 0.003 Sn
0.500 0.697 0.309 Rh
0.500 0.309 0.697 Rh
```

D(E_F)	1.1012	states/eV per atom
space-group type	C2/m
total moment	0.0	μB/f.u.
electronic total energy	-5.4713	eV per atom

---

Here is crystalline Er5SnRh4 at its relaxed geometry from the Alexandria database. Energies are from PBE-GGA.

Geometry as POSCAR:
```
Er5SnRh4
1.0
-2.569 1.263 -1.699
-1.963 -0.420 2.656
4.492 17.274 6.053
Er Sn Rh
5 1 4
Direct
0.500 0.500 0.127 Er
0.500 0.500 0.313 Er
0.500 0.500 0.500 Er
0.500 0.500 0.687 Er
0.500 0.500 0.873 Er
0.000 0.000 0.000 Sn
0.000 0.000 0.218 Rh
0.000 0.000 0.407 Rh
0.000 0.000 0.593 Rh
0.000 0.000 0.782 Rh
```

D(E_F)	0.2588	states/eV per atom
space-group type	P4/mmm
total moment	0.0	μB/f.u.
electronic total energy	-6.4982	eV per atom

---

Here is crystalline Er4SnRh2 at its relaxed geometry from the Alexandria database. Energies are from PBE-GGA.

Geometry as POSCAR:
```
Er4SnRh2
1.0
-0.812 1.977 4.082
-3.905 -0.916 2.267
2.764 -7.086 6.582
Er Sn Rh
4 1 2
Direct
0.386 0.386 0.841 Er
0.202 0.202 0.394 Er
0.798 0.798 0.606 Er
0.614 0.614 0.159 Er
0.000 0.000 0.000 Sn
0.099 0.099 0.704 Rh
0.901 0.901 0.296 Rh
```

D(E_F)	0.3285	states/eV per atom
space-group type	R-3m
total moment	0.0	μB/f.u.
electronic total energy	-5.9541	eV per atom

---

For each record above, in turn, the calculated E_form values are -267.2, -452.3, -875.9, -674.5 meV/atom.